[1]
DFT (GGA-PBE) results for a geometry-optimized SrAc2C structure.

```
SrAc2C
1.0
1.972 1.139 11.052
-1.972 1.139 11.052
0.000 -2.277 11.052
Sr Ac C
1 2 1
direct
0.000 0.000 0.000 Sr
0.121 0.121 0.121 Ac
0.879 0.879 0.879 Ac
0.500 0.500 0.500 C
```

## Properties
- energy of formation from the pure elements (eV/atom) = 0.138
- E_tot (eV per atom) = -4.6424

[2]
DFT (GGA-PBE) results for a geometry-optimized Dy4IrRh2 structure.

```
Dy4IrRh2
1.0
2.406 1.389 7.926
-2.406 1.389 7.926
0.000 -2.778 7.926
Dy Ir Rh
4 1 2
direct
0.125 0.125 0.125 Dy
0.375 0.375 0.375 Dy
0.625 0.625 0.625 Dy
0.875 0.875 0.875 Dy
0.000 0.000 0.000 Ir
0.250 0.250 0.250 Rh
0.750 0.750 0.750 Rh
```

## Properties
- energy of formation from the pure elements (eV/atom) = -0.776
- polymorph energy (0 for the lowest one) (meV per atom) = 0
- E_tot (eV per atom) = -6.7720

[3]
DFT (GGA-PBE) results for a geometry-optimized Cs2BaNbBr6 structure.

```
Cs2BaNbBr6
1.0
0.000 5.875 5.875
5.875 0.000 5.875
5.875 5.875 0.000
Cs Ba Nb Br
2 1 1 6
direct
0.250 0.250 0.250 Cs
0.750 0.750 0.750 Cs
0.000 0.000 0.000 Ba
0.500 0.500 0.500 Nb
0.268 0.268 0.732 Br
0.268 0.732 0.268 Br
0.268 0.732 0.732 Br
0.732 0.268 0.268 Br
0.732 0.268 0.732 Br
0.732 0.732 0.268 Br
```

## Properties
- raw formation energy (eV per atom) = -1.479
- E_tot (eV per atom) = -3.8525